Record 1
{"formula": "KHfAg3Te4", "functional": "PBE", "state": "optimized geometry", "cell": [[6.6043, 0.0000, 0.0000], [0.0000, 8.7077, 0.0000], [-3.1718, 0.0000, 10.3691]], "species": ["Hf", "Hf", "Ag", "Ag", "Ag", "Ag", "Ag", "Ag", "Te", "Te", "Te", "Te", "Te", "Te", "Te", "Te", "K", "K"], "fractional_positions": [[0.8554, 0.2500, 0.7135], [0.1446, 0.7500, 0.2865], [0.7844, 0.9834, 0.4984], [0.2156, 0.4834, 0.5016], [0.7844, 0.5166, 0.4984], [0.2156, 0.0166, 0.5016], [0.6434, 0.7500, 0.2907], [0.3566, 0.2500, 0.7093], [0.2815, 0.7500, 0.0759], [0.4775, 0.7500, 0.5189], [0.8956, 0.4891, 0.2598], [0.1044, 0.9891, 0.7402], [0.8956, 0.0109, 0.2598], [0.1044, 0.5109, 0.7402], [0.5225, 0.2500, 0.4811], [0.7185, 0.2500, 0.9241], [0.6873, 0.7500, 0.8972], [0.3127, 0.2500, 0.1028]], "relative_energy_kj_per_mol_atoms": 0.5, "sg": "No. 11"}

=====

Record 2
{"formula": "KHfAgTe3", "functional": "PBE", "state": "optimized geometry", "cell": [[4.1928, 0.0000, 0.0000], [2.0964, 7.9141, 0.0000], [0.0000, 0.0000, 11.1664]], "species": ["Hf", "Hf", "Ag", "Ag", "K", "K", "Te", "Te", "Te", "Te", "Te", "Te"], "fractional_positions": [[0.0000, 0.0000, 0.5000], [0.0000, 0.0000, 0.0000], [0.5431, 0.9138, 0.7500], [0.4569, 0.0862, 0.2500], [0.7587, 0.4825, 0.2500], [0.2412, 0.5175, 0.7500], [0.6280, 0.7440, 0.9647], [0.9281, 0.1439, 0.7500], [0.6280, 0.7440, 0.5353], [0.0719, 0.8561, 0.2500], [0.3720, 0.2560, 0.0353], [0.3720, 0.2560, 0.4647]], "e_tot_ev_per_atom": -4.61, "sg": "No. 63"}

=====

Record 3
{"formula": "KHfAgTe3", "functional": "PBE", "state": "optimized geometry", "cell": [[11.4615, 0.0000, 0.0000], [0.0000, 4.1893, 0.0000], [0.0000, 0.0000, 15.6743]], "species": ["Te", "Te", "Te", "Te", "Te", "Te", "Te", "Te", "Te", "Te", "Te", "Te", "Ag", "Ag", "Ag", "Ag", "K", "K", "K", "K", "Hf", "Hf", "Hf", "Hf"], "fractional_positions": [[0.0304, 0.2500, 0.1258], [0.0426, 0.7500, 0.6212], [0.4696, 0.7500, 0.6258], [0.9574, 0.2500, 0.3788], [0.7357, 0.7500, 0.1775], [0.4574, 0.2500, 0.1212], [0.2643, 0.2500, 0.8225], [0.5304, 0.2500, 0.3742], [0.9696, 0.7500, 0.8742], [0.7643, 0.2500, 0.6775], [0.5426, 0.7500, 0.8788], [0.2357, 0.7500, 0.3225], [0.2526, 0.7500, 0.7043], [0.2474, 0.2500, 0.2043], [0.7526, 0.7500, 0.7957], [0.7474, 0.2500, 0.2957], [0.2376, 0.7500, 0.0084], [0.2624, 0.2500, 0.5084], [0.7376, 0.7500, 0.4916], [0.7624, 0.2500, 0.9916], [0.0381, 0.2500, 0.7530], [0.5381, 0.2500, 0.7470], [0.9619, 0.7500, 0.2470], [0.4619, 0.7500, 0.2530]], "e_tot_ev_per_atom": -4.62, "sg": "No. 62"}

=====

Record 4
{"formula": "Li2HfAg", "functional": "PBE", "state": "optimized geometry", "cell": [[2.5028, -3.8088, -0.5842], [-2.0813, -4.0132, -0.8212], [0.3013, -1.9361, -4.1561]], "species": ["Hf", "Ag", "Li", "Li"], "fractional_positions": [[0.0000, 0.0000, 0.0000], [0.7500, 0.7500, 0.7500], [0.5000, 0.5000, 0.5000], [0.2500, 0.2500, 0.2500]], "e_tot_ev_per_atom": -3.96, "sg": "No. 216"}

=====

Record 5
{"formula": "Li2HfAg", "functional": "PBE", "state": "optimized geometry", "cell": [[0.0000, 3.2490, 3.2490], [3.2490, 0.0000, 3.2490], [3.2490, 3.2490, 0.0000]], "species": ["Hf", "Li", "Li", "Ag"], "fractional_positions": [[0.5000, 0.5000, 0.5000], [0.2500, 0.2500, 0.2500], [0.0000, 0.0000, 0.0000], [0.7500, 0.7500, 0.7500]], "e_tot_ev_per_atom": -3.96, "sg": "No. 216"}

=====

Record 6
{"formula": "LiHfAg", "functional": "PBE", "state": "optimized geometry", "cell": [[-3.7230, -0.9956, -2.2963], [-3.6783, 2.5212, 0.4885], [-1.3526, 2.6659, -3.3450]], "species": ["Hf", "Li", "Ag"], "fractional_positions": [[0.2500, 0.2500, 0.2500], [0.7500, 0.7500, 0.7500], [0.0000, 0.0000, 0.0000]], "relative_energy_kj_per_mol_atoms": 0.0, "sg": "No. 216"}

=====

Record 7
{"formula": "LiHfAg", "functional": "PBE", "state": "optimized geometry", "cell": [[1.2307, 1.9699, 3.8634], [-0.3527, 4.4701, 0.4631], [-3.1285, 1.7424, 2.7381]], "species": ["Li", "Hf", "Ag"], "fractional_positions": [[0.7500, 0.7500, 0.7500], [0.0000, 0.0000, 0.0000], [0.2500, 0.2500, 0.2500]], "relative_energy_kj_per_mol_atoms": 28.1, "sg": "No. 216"}

=====

Record 8
{"formula": "LiHfAg3O4", "functional": "PBE", "state": "optimized geometry", "cell": [[5.5488, 0.0000, 0.0000], [0.0000, 5.5488, 0.0000], [0.0000, 0.0000, 5.5488]], "species": ["O", "O", "O", "O", "Ag", "Ag", "Ag", "Li", "Hf"], "fractional_positions": [[0.2894, 0.7106, 0.7106], [0.7106, 0.7106, 0.2894], [0.2894, 0.2894, 0.2894], [0.7106, 0.2894, 0.7106], [0.5000, 0.0000, 0.5000], [0.5000, 0.5000, 0.0000], [0.0000, 0.5000, 0.5000], [0.0000, 0.0000, 0.0000], [0.5000, 0.5000, 0.5000]], "e_tot_ev_per_atom": -5.50, "sg": "No. 215"}

=====

Record 9
{"formula": "LiHfAg3S4", "functional": "PBE", "state": "optimized geometry", "cell": [[-5.7426, -0.5372, 1.7130], [-1.3491, -2.4966, -5.3054], [1.1845, -5.4478, 2.2624]], "species": ["S", "S", "S", "S", "Li", "Ag", "Ag", "Ag", "Hf"], "fractional_positions": [[0.2352, 0.7648, 0.2352], [0.2352, 0.2352, 0.7648], [0.7648, 0.7648, 0.7648], [0.7648, 0.2352, 0.2352], [0.5000, 0.5000, 0.5000], [0.0000, 0.0000, 0.5000], [0.0000, 0.5000, 0.0000], [0.5000, 0.0000, 0.0000], [0.0000, 0.0000, 0.0000]], "relative_energy_kj_per_mol_atoms": 0.0, "sg": "No. 215"}

=====

Record 10
{"formula": "LiHfAg3S4", "functional": "PBE", "state": "optimized geometry", "cell": [[-0.4943, -0.0506, -6.2493], [0.9148, -7.9061, -0.0083], [-8.4574, -0.9799, 1.1908]], "species": ["S", "S", "S", "S", "S", "S", "S", "S", "Hf", "Hf", "Ag", "Ag", "Ag", "Ag", "Ag", "Ag", "Li", "Li"], "fractional_positions": [[0.9825, 0.2500, 0.5374], [0.5839, 0.9954, 0.2500], [0.0175, 0.7500, 0.4626], [0.4161, 0.4954, 0.7500], [0.0336, 0.2500, 0.0307], [0.9664, 0.7500, 0.9693], [0.5839, 0.5046, 0.2500], [0.4161, 0.0046, 0.7500], [0.1903, 0.2500, 0.7721], [0.8097, 0.7500, 0.2279], [0.6630, 0.2500, 0.6793], [0.2772, 0.9648, 0.0405], [0.7228, 0.4648, 0.9595], [0.3370, 0.7500, 0.3207], [0.2772, 0.5352, 0.0405], [0.7228, 0.0352, 0.9595], [0.1861, 0.7500, 0.7171], [0.8139, 0.2500, 0.2829]], "relative_energy_kj_per_mol_atoms": 3.5, "sg": "No. 11"}

=====

Record 11
{"formula": "LiHfAgTe2S", "functional": "PBE", "state": "optimized geometry", "cell": [[-4.1616, 0.3588, 6.6789], [0.9417, -2.7901, -7.3065], [5.1213, -7.7130, 3.6054]], "species": ["S", "S", "Te", "Te", "Te", "Te", "Li", "Li", "Hf", "Hf", "Ag", "Ag"], "fractional_positions": [[0.5241, 0.4759, 0.2500], [0.4759, 0.5241, 0.7500], [0.1415, 0.8585, 0.0063], [0.8585, 0.1415, 0.5063], [0.1415, 0.8585, 0.4937], [0.8585, 0.1415, 0.9937], [0.2869, 0.7131, 0.2500], [0.7131, 0.2869, 0.7500], [0.5000, 0.5000, 0.5000], [0.5000, 0.5000, 0.0000], [0.0798, 0.9202, 0.7500], [0.9202, 0.0798, 0.2500]], "e_tot_ev_per_atom": -4.91, "sg": "No. 63"}

=====

Record 12
{"formula": "LiHfAgSe3", "functional": "PBE", "state": "optimized geometry", "cell": [[7.9197, 0.0000, 0.0000], [0.0000, 3.8307, 0.0000], [-1.8475, 0.0000, 8.9621]], "species": ["Se", "Se", "Se", "Se", "Se", "Se", "Li", "Li", "Ag", "Ag", "Hf", "Hf"], "fractional_positions": [[0.3887, 0.7500, 0.1067], [0.9289, 0.7500, 0.1495], [0.6113, 0.2500, 0.8933], [0.2146, 0.2500, 0.4619], [0.0711, 0.2500, 0.8505], [0.7854, 0.7500, 0.5381], [0.8547, 0.2500, 0.3505], [0.1453, 0.7500, 0.6495], [0.5644, 0.2500, 0.6097], [0.4356, 0.7500, 0.3903], [0.8186, 0.7500, 0.8384], [0.1814, 0.2500, 0.1616]], "relative_energy_kj_per_mol_atoms": 0.0, "sg": "No. 11"}

=====

Volume (computed, Å³/atom): 33.1, 30.9, 31.4, 17.1, 17.1, 21.3, 21.6, 19.0, 24.2, 23.8, 25.7, 22.7